[1]
Compound: Hf3Bi2Te2
Source: Alexandria via LeMat-Bulk
Functional: PBE-GGA
Structure: optimized geometry

Unit cell a=3.9487 b=7.3480 c=7.1379 alpha=105.08 beta=90.00 gamma=105.64
Closest atoms and distances in Å follow each position.
Fractional coordinates of all 7 atoms:
Hf 0.0000 0.0000 0.0000  2 Te 2.87, 4 Bi 2.99
Hf 0.7442 0.4889 0.1880  3 Te 2.90-3.13, 3 Bi 3.01-3.07
Hf 0.2558 0.5111 0.8120  3 Te 2.90-3.13, 3 Bi 3.01-3.07
Bi 0.5924 0.1846 0.7886  5 Hf 2.99-3.07
Bi 0.4076 0.8154 0.2114  5 Hf 2.99-3.07
Te 0.8538 0.7069 0.6321  4 Hf 2.87-3.13
Te 0.1462 0.2931 0.3679  4 Hf 2.87-3.13

Properties
N(E_F) = 4.34 states/eV/cell
formation energy without anion corrections = -0.396 eV per atom


[2]
Compound: Hf2BiTe
Source: Alexandria via LeMat-Bulk
Functional: PBE-GGA
Structure: optimized geometry

Unit cell a=3.5474 b=3.5474 c=7.3486 alpha=90.00 beta=90.00 gamma=90.00
Closest atoms and distances in Å follow each position.
Fractional coordinates of all 4 atoms:
Te 0.5000 0.5000 0.0000  8 Hf 3.05
Hf 0.0000 0.0000 0.7630  4 Te 3.05, 4 Bi 3.17
Hf 0.0000 0.0000 0.2370  4 Te 3.05, 4 Bi 3.17
Bi 0.5000 0.5000 0.5000  8 Hf 3.17

Properties
distance to the lowest polymorph of the same formula = 119 meV per atom
N(E_F) = 2.88 states/eV/cell
formation energy without anion corrections = -0.258 eV per atom


[3]
Compound: Hf5BiTe
Source: Alexandria via LeMat-Bulk
Functional: PBE-GGA
Structure: optimized geometry

Unit cell a=7.7362 b=7.7362 c=7.2586 alpha=89.73 beta=89.73 gamma=126.51
Closest atoms and distances in Å follow each position.
Fractional coordinates of all 14 atoms:
Hf 0.9790 0.6269 0.1512  1 Te 3.00, 8 Hf 3.03-3.21, 1 Bi 3.11
Hf 0.2241 0.5712 0.4482  8 Hf 3.03-3.21, 2 Bi 3.10-3.15
Hf 0.6269 0.9790 0.6512  1 Te 3.00, 8 Hf 3.03-3.21, 1 Bi 3.11
Hf 0.8270 0.1730 0.2500  2 Te 3.00, 8 Hf 3.05-3.21
Hf 0.4288 0.7759 0.0518  8 Hf 3.03-3.21, 2 Bi 3.10-3.15
Hf 0.5712 0.2241 0.9482  8 Hf 3.03-3.21, 2 Bi 3.10-3.15
Hf 0.1730 0.8270 0.7500  2 Te 3.00, 8 Hf 3.05-3.21
Hf 0.3731 0.0210 0.3488  1 Te 3.00, 8 Hf 3.03-3.21, 1 Bi 3.11
Hf 0.7759 0.4288 0.5518  8 Hf 3.03-3.21, 2 Bi 3.10-3.15
Hf 0.0210 0.3731 0.8488  1 Te 3.00, 8 Hf 3.03-3.21, 1 Bi 3.11
Bi 0.5183 0.4817 0.2500  6 Hf 3.10-3.15
Bi 0.4817 0.5183 0.7500  6 Hf 3.10-3.15
Te 0.0000 0.0000 0.0000  4 Hf 3.00
Te 0.0000 0.0000 0.5000  4 Hf 3.00

Properties
N(E_F) = 9.87 states/eV/cell
formation energy without anion corrections = -0.097 eV per atom


[4]
Compound: Hf2BiTe
Source: Alexandria via LeMat-Bulk
Functional: PBE-GGA
Structure: optimized geometry

Unit cell a=7.2423 b=7.1706 c=7.7082 alpha=90.00 beta=89.90 gamma=90.00
Closest atoms and distances in Å follow each position.
Fractional coordinates of all 16 atoms:
Hf 0.5045 0.6828 0.1401  4 Bi 2.91-3.17, 2 Te 2.93, 1 Hf 3.23
Hf 0.0045 0.8172 0.1401  4 Bi 2.91-3.17, 2 Te 2.93, 1 Hf 3.23
Hf 0.9934 0.1832 0.3847  4 Te 2.88-3.12, 2 Bi 3.04, 1 Hf 3.17
Hf 0.9955 0.1828 0.8599  4 Bi 2.91-3.17, 2 Te 2.93, 1 Hf 3.23
Hf 0.0066 0.8168 0.6153  4 Te 2.88-3.12, 2 Bi 3.04, 1 Hf 3.17
Hf 0.5066 0.6832 0.6153  4 Te 2.88-3.12, 2 Bi 3.04, 1 Hf 3.17
Hf 0.4955 0.3172 0.8599  4 Bi 2.91-3.17, 2 Te 2.93, 1 Hf 3.23
Hf 0.4934 0.3168 0.3847  4 Te 2.88-3.12, 2 Bi 3.04, 1 Hf 3.17
Bi 0.1982 0.4212 0.1213  6 Hf 2.91-3.17
Bi 0.3018 0.9212 0.8787  6 Hf 2.91-3.17
Bi 0.6982 0.0788 0.1213  6 Hf 2.91-3.17
Bi 0.8018 0.5788 0.8787  6 Hf 2.91-3.17
Te 0.6998 0.0723 0.6231  6 Hf 2.88-3.12
Te 0.1998 0.4277 0.6231  6 Hf 2.88-3.12
Te 0.3002 0.9277 0.3769  6 Hf 2.88-3.12
Te 0.8002 0.5723 0.3769  6 Hf 2.88-3.12

Properties
distance to the lowest polymorph of the same formula = 0 meV per atom
N(E_F) = 9.40 states/eV/cell
formation energy without anion corrections = -0.376 eV per atom


[5]
Compound: Hf7Bi2Te2
Source: Alexandria via LeMat-Bulk
Functional: PBE-GGA
Structure: optimized geometry

Unit cell a=7.5008 b=6.5006 c=6.5006 alpha=110.94 beta=99.91 gamma=99.91
Closest atoms and distances in Å follow each position.
Fractional coordinates of all 11 atoms:
Hf 0.1694 0.9164 0.4341  1 Te 2.85, 1 Bi 3.02, 3 Hf 3.02-3.16
Hf 0.8306 0.5659 0.0836  1 Te 2.85, 1 Bi 3.02, 3 Hf 3.02-3.16
Hf 0.8306 0.0836 0.5659  1 Te 2.85, 1 Bi 3.02, 3 Hf 3.02-3.16
Hf 0.1694 0.4341 0.9164  1 Te 2.85, 1 Bi 3.02, 3 Hf 3.02-3.16
Hf 0.0000 0.0000 0.0000  2 Hf 2.80, 2 Te 2.85
Hf 0.8537 0.6022 0.6022  2 Hf 2.80-3.02, 1 Te 3.01, 2 Bi 3.14
Hf 0.1463 0.3978 0.3978  2 Hf 2.80-3.02, 1 Te 3.01, 2 Bi 3.14
Bi 0.5000 0.3268 0.6732  6 Hf 3.02-3.21
Bi 0.5000 0.6732 0.3268  6 Hf 3.02-3.21
Te 0.7097 0.1745 0.1745  4 Hf 2.85-3.01
Te 0.2903 0.8255 0.8255  4 Hf 2.85-3.01

Properties
N(E_F) = 7.11 states/eV/cell
formation energy without anion corrections = -0.138 eV per atom


[6]
Compound: Hf2BiTe
Source: Alexandria via LeMat-Bulk
Functional: PBE-GGA
Structure: optimized geometry

Unit cell a=6.5484 b=6.5484 c=7.9898 alpha=65.81 beta=65.81 gamma=90.00
Closest atoms and distances in Å follow each position.
Fractional coordinates of all 8 atoms:
Te 0.5000 0.5000 0.0000  4 Hf 2.80
Te 0.2500 0.7500 0.5000  4 Hf 2.80
Hf 0.6171 0.1250 0.2500  2 Te 2.80, 2 Bi 2.86
Hf 0.1329 0.6250 0.2500  2 Te 2.80, 2 Bi 2.86
Hf 0.3750 0.3829 0.7500  2 Te 2.80, 2 Bi 2.86
Hf 0.8750 0.8671 0.7500  2 Te 2.80, 2 Bi 2.86
Bi 0.0000 0.0000 0.0000  4 Hf 2.86
Bi 0.7500 0.2500 0.5000  4 Hf 2.86

Properties
distance to the lowest polymorph of the same formula = 809 meV per atom
N(E_F) = 8.78 states/eV/cell
formation energy without anion corrections = 0.433 eV per atom


> The lowest N(E_F) belongs to which entry?

number 2


> What is the formula in the first record?

Hf3Bi2Te2


> N(E_F) of number 1 (Hf3Bi2Te2)?

4.34 states/eV/cell